# LaTb6Dy2Y

LaTb6Dy2Y after structural relaxation (GGA-PBE, Alexandria via LeMat-Bulk).

Summary:
D(E_F): 29.8 states/eV per cell
crystal system: monoclinic
formation enthalpy at 0 K: 1.17 eV per formula unit
space group: C2/c
total magnetic moment: 0.000 μB/f.u.

Lattice parameters (Å, degrees): 9.5930 8.8413 8.8413 117.83 93.39 93.39
Sites, in units of the cell vectors:
La 0.2500 0.9723 0.0277
La 0.7500 0.0277 0.9723
Tb 0.0570 0.1226 0.7494
Tb 0.4430 0.2506 0.8774
Tb 0.9430 0.8774 0.2506
Tb 0.5570 0.7494 0.1226
Tb 0.3188 0.9822 0.4379
Tb 0.1812 0.5621 0.0178
Tb 0.6812 0.0178 0.5621
Tb 0.8188 0.4379 0.9822
Tb 0.1185 0.7078 0.4901
Tb 0.3815 0.5099 0.2922
Tb 0.8815 0.2922 0.5099
Tb 0.6185 0.4901 0.7078
Dy 0.4527 0.8010 0.6956
Dy 0.0473 0.3044 0.1990
Dy 0.5473 0.1990 0.3044
Dy 0.9527 0.6956 0.8010
Y 0.2500 0.4093 0.5907
Y 0.7500 0.5907 0.4093

=====

# TaPd6Pt2

TaPd6Pt2 after structural relaxation (GGA-PBE, Alexandria via LeMat-Bulk).

Summary:
ΔE to the lowest computed polymorph: 0.0000 eV per atom
D(E_F): 11.9 states/eV per cell
crystal system: monoclinic
formation enthalpy at 0 K: -2.21 eV per formula unit
space group: C2/c
total magnetic moment: 0.000 μB/f.u.

Lattice parameters (Å, degrees): 8.4072 5.9843 5.9843 104.25 82.78 82.78
Sites, in units of the cell vectors:
Ta 0.2500 0.1260 0.8740
Ta 0.7500 0.8740 0.1260
Pd 0.4623 0.7989 0.5552
Pd 0.0377 0.4448 0.2011
Pd 0.5377 0.2011 0.4448
Pd 0.9623 0.5552 0.7989
Pd 0.8619 0.2124 0.4497
Pd 0.6381 0.5503 0.7876
Pd 0.1381 0.7876 0.5503
Pd 0.3619 0.4497 0.2124
Pd 0.0832 0.8815 0.1291
Pd 0.4168 0.8709 0.1185
Pd 0.9168 0.1185 0.8709
Pd 0.5832 0.1291 0.8815
Pt 0.3009 0.5281 0.8020
Pt 0.1991 0.1980 0.4719
Pt 0.6991 0.4719 0.1980
Pt 0.8009 0.8020 0.5281

=====

# OsSe2BrN

OsSe2BrN after structural relaxation (GGA-PBE, Alexandria via LeMat-Bulk).

Summary:
ΔE to the lowest computed polymorph: 1.6796 eV per atom
D(E_F): 4.7 states/eV per cell
crystal system: tetragonal
space group: P4/mmm
total magnetic moment: 0.000 μB/f.u.

Lattice parameters (Å, degrees): 5.1119 5.1119 3.5144 90.00 90.00 90.00
Sites, in units of the cell vectors:
Os 0.5000 0.5000 0.5000
Se 0.0000 0.5000 0.0000
Se 0.5000 0.0000 0.0000
Br 0.0000 0.0000 0.0000
N 0.0000 0.0000 0.5000

=====

# Pm5SmDy2Ho

Pm5SmDy2Ho after structural relaxation (GGA-PBE, Alexandria via LeMat-Bulk).

Summary:
D(E_F): 28.5 states/eV per cell
crystal system: orthorhombic
formation enthalpy at 0 K: 1.31 eV per formula unit
space group: Cmc2_1
total magnetic moment: 0.000 μB/f.u.

Lattice parameters (Å, degrees): 5.6525 10.5439 10.7034 90.00 90.00 105.55
Sites, in units of the cell vectors:
Pm 0.3904 0.7809 0.0242
Pm 0.7190 0.4379 0.8090
Pm 0.4801 0.9601 0.7421
Pm 0.2976 0.5952 0.7049
Pm 0.9834 0.9669 0.5216
Pm 0.6096 0.2191 0.5242
Pm 0.2810 0.5621 0.3090
Pm 0.5199 0.0399 0.2421
Pm 0.7024 0.4048 0.2049
Pm 0.0166 0.0331 0.0216
Sm 0.7993 0.5987 0.5096
Sm 0.2007 0.4013 0.0096
Dy 0.8841 0.7683 0.8166
Dy 0.1107 0.2215 0.7373
Dy 0.1159 0.2317 0.3166
Dy 0.8893 0.7785 0.2373
Ho 0.5896 0.1792 0.9585
Ho 0.4104 0.8208 0.4585

=====

# RbCa2Se

RbCa2Se after structural relaxation (GGA-PBE, Alexandria via LeMat-Bulk).

Summary:
electronic total energy: -2.6725 eV/atom
D(E_F): 7.1 states/eV per cell
crystal system: tetragonal
space group: I-42d
total magnetic moment: 0.000 μB/f.u.

Lattice parameters (Å, degrees): 8.9341 8.9341 8.7758 59.40 59.40 90.00
Sites, in units of the cell vectors:
Ca 0.4427 0.1250 0.2500
Ca 0.3073 0.6250 0.2500
Ca 0.3750 0.5573 0.7500
Ca 0.8750 0.6927 0.7500
Se 0.5000 0.5000 0.0000
Se 0.2500 0.7500 0.5000
Rb 0.0000 0.0000 0.0000
Rb 0.7500 0.2500 0.5000

=====

# LaPm5Ho4

LaPm5Ho4 after structural relaxation (GGA-PBE, Alexandria via LeMat-Bulk).

Summary:
ΔE to the lowest computed polymorph: 0.0166 eV per atom
D(E_F): 14.1 states/eV per cell
crystal system: monoclinic
formation enthalpy at 0 K: 0.36 eV per formula unit
space group: C2/m
total magnetic moment: 0.000 μB/f.u.

Lattice parameters (Å, degrees): 3.5635 11.5123 8.7996 71.27 101.69 90.00
Sites, in units of the cell vectors:
La 0.5000 0.0000 0.0000
Pm 0.2105 0.3852 0.4212
Pm 0.1906 0.9206 0.3804
Pm 0.8094 0.0794 0.6196
Pm 0.5000 0.5000 0.0000
Pm 0.7895 0.6148 0.5788
Ho 0.6059 0.2036 0.2109
Ho 0.9178 0.2929 0.8338
Ho 0.3941 0.7964 0.7891
Ho 0.0822 0.7071 0.1662

=====

# Ti2NbP2

Ti2NbP2 after structural relaxation (GGA-PBE, Alexandria via LeMat-Bulk).

Summary:
ΔE to the lowest computed polymorph: 0.1352 eV per atom
D(E_F): 7.9 states/eV per cell
crystal system: orthorhombic
formation enthalpy at 0 K: -4.47 eV per formula unit
space group: Cmcm
total magnetic moment: 0.000 μB/f.u.

Lattice parameters (Å, degrees): 3.3980 3.8278 11.5182 90.00 98.48 90.00
Sites, in units of the cell vectors:
Ti 0.0525 0.2500 0.1050
Ti 0.9475 0.7500 0.8950
Ti 0.7531 0.2500 0.5062
Ti 0.2469 0.7500 0.4938
Nb 0.3595 0.2500 0.7191
Nb 0.6405 0.7500 0.2809
P 0.1691 0.2500 0.3383
P 0.8309 0.7500 0.6617
P 0.4674 0.2500 0.9348
P 0.5326 0.7500 0.0652

=====

# GdScTcRh

GdScTcRh after structural relaxation (GGA-PBE, Alexandria via LeMat-Bulk).

Summary:
D(E_F): 4.5 states/eV per cell
crystal system: cubic
formation enthalpy at 0 K: -1.51 eV per formula unit
space group: F-43m
total magnetic moment: 7.019 μB/f.u.

Lattice parameters (Å, degrees): 4.7214 4.7214 4.7214 60.00 60.00 60.00
Sites, in units of the cell vectors:
Sc 0.0000 0.0000 0.0000
Gd 0.5000 0.5000 0.5000
Rh 0.7500 0.7500 0.7500
Tc 0.2500 0.2500 0.2500